# 1
# SrNdGe4 (PBE, optimized geometry)
data_SrNdGe4
_chemical_formula_sum 'Sr4 Nd4 Ge16'
_cell_length_a 4.4382
_cell_length_b 7.8123
_cell_length_c 17.9029
_cell_angle_alpha 90.00
_cell_angle_beta 90.00
_cell_angle_gamma 90.00
_space_group_name_H-M_alt 'P 1'
_space_group_IT_number 1
_space_group_name_Hall 'P 1'
loop_
_atom_site_label
_atom_site_fract_x
_atom_site_fract_y
_atom_site_fract_z
Ge1 0.5000 0.6474 0.9628
Ge2 0.5000 0.7868 0.1952
Ge3 0.5000 0.8526 0.4628
Ge4 0.5000 0.0395 0.6858
Ge5 0.5000 0.4605 0.1858
Sr1 0.0000 0.6275 0.3340
Nd1 0.0000 0.8710 0.5884
Ge6 0.5000 0.3526 0.0372
Ge7 0.5000 0.4021 0.4393
Ge8 0.5000 0.2132 0.8048
Ge9 0.5000 0.5979 0.5607
Sr2 0.0000 0.8725 0.8340
Sr3 0.0000 0.1275 0.1660
Ge10 0.5000 0.1474 0.5372
Sr4 0.0000 0.3725 0.6660
Nd2 0.0000 0.3710 0.9116
Ge11 0.5000 0.9021 0.0607
Ge12 0.5000 0.2868 0.3048
Ge13 0.5000 0.7132 0.6952
Nd3 0.0000 0.6290 0.0884
Ge14 0.5000 0.0979 0.9393
Ge15 0.5000 0.9605 0.3142
Nd4 0.0000 0.1290 0.4116
Ge16 0.5000 0.5395 0.8142
# V in Å³ per cell: 620.74
# E above lowest polymorph in meV per atom: 0
# Theoretical density in g/cm³: 5.590



# 2
# Sb2MoSe (PBE, optimized geometry)
data_Sb2MoSe
_chemical_formula_sum 'Sb2 Mo1 Se1'
_cell_length_a 9.5149
_cell_length_b 9.5149
_cell_length_c 9.5149
_cell_angle_alpha 20.51
_cell_angle_beta 20.51
_cell_angle_gamma 20.51
_space_group_name_H-M_alt 'P 1'
_space_group_IT_number 1
_space_group_name_Hall 'P 1'
loop_
_atom_site_label
_atom_site_fract_x
_atom_site_fract_y
_atom_site_fract_z
Mo1 0.2479 0.2479 0.2479
Sb1 0.9861 0.9861 0.9861
Se1 0.5233 0.5233 0.5233
Sb2 0.7428 0.7428 0.7428
# V in Å³ per cell: 92.52
# Theoretical density in g/cm³: 7.510
# Energy relative to the elements, uncorrected in eV per atom: -0.03